# AcMg2Cd4, relaxed, DFT PBE
# formation energy from the elements: -238 meV/atom
data_AcMg2Cd4
_space_group_name_H-M_alt 'I 4/m m m'
_space_group_IT_number 139
_space_group_name_Hall '-I 4 2'
_cell_length_a 7.671
_cell_length_b 7.671
_cell_length_c 5.923
_cell_angle_alpha 90.00
_cell_angle_beta 90.00
_cell_angle_gamma 90.00
loop_
_atom_site_label
_atom_site_type_symbol
_atom_site_fract_x
_atom_site_fract_y
_atom_site_fract_z
Ac1 Ac 0.000 0.000 0.000
Mg1 Mg 0.000 0.500 0.250
Cd1 Cd 0.193 0.193 0.500